No. 1
# PBE BaScSe2, optimized geometry
# * energy above the most stable polymorph in this dataset: 0.2555 eV/atom
# * raw formation energy: -1.49 eV per atom
# * VASP energy: -5.294 eV per atom
data_BaScSe2
_chemical_formula_sum 'Ba1 Sc1 Se2'
_symmetry_space_group_name_H-M 'P 4 m m'
_symmetry_Int_Tables_number 99
_cell_length_a 4.0162
_cell_length_b 4.0162
_cell_length_c 7.6127
_cell_angle_alpha 90.00
_cell_angle_beta 90.00
_cell_angle_gamma 90.00
loop_
_symmetry_equiv_pos_as_xyz
'x,y,z'
'-y,x,z'
'-x,-y,z'
'y,-x,z'
'-x,y,z'
'y,x,z'
'x,-y,z'
'-y,-x,z'
loop_
_atom_site_label
_atom_site_fract_x
_atom_site_fract_y
_atom_site_fract_z
Ba1 0.0000 0.0000 0.0000
Sc1 0.5000 0.5000 0.4818
Se1 0.0000 0.0000 0.4335
Se2 0.5000 0.5000 0.8204

***

No. 2
# PBE Ba2Sc2Se, optimized geometry
# * energy above the most stable polymorph in this dataset: 0.8163 eV/atom
# * raw formation energy: 0.56 eV per atom
# * VASP energy: -3.441 eV per atom
data_Ba2Sc2Se
_chemical_formula_sum 'Ba4 Sc4 Se2'
_symmetry_space_group_name_H-M 'I 4/m m m'
_symmetry_Int_Tables_number 139
_symmetry_space_group_name_Hall '-I 4 2'
_cell_length_a 4.4822
_cell_length_b 4.4822
_cell_length_c 17.4854
_cell_angle_alpha 90.00
_cell_angle_beta 90.00
_cell_angle_gamma 90.00
loop_
_atom_site_label
_atom_site_fract_x
_atom_site_fract_y
_atom_site_fract_z
Ba1 0.0000 0.5000 0.2500
Sc1 0.0000 0.0000 0.0748
Se1 0.0000 0.0000 0.5000

***

No. 3
# PBE BaSc2Se4, optimized geometry
# * energy above the most stable polymorph in this dataset: 0.0000 eV/atom
# * raw formation energy: -1.83 eV per atom
# * VASP energy: -5.906 eV per atom
data_BaSc2Se4
_chemical_formula_sum 'Ba4 Sc8 Se16'
_symmetry_space_group_name_H-M 'P n m a'
_symmetry_Int_Tables_number 62
_cell_length_a 12.5352
_cell_length_b 4.0305
_cell_length_c 14.6044
_cell_angle_alpha 90.00
_cell_angle_beta 90.00
_cell_angle_gamma 90.00
loop_
_symmetry_equiv_pos_as_xyz
'x,y,z'
'-x,-y,-z'
'-x+1/2,-y,z+1/2'
'x+1/2,y,-z+1/2'
'x+1/2,-y+1/2,-z+1/2'
'-x+1/2,y+1/2,z+1/2'
'-x,y+1/2,-z'
'x,-y+1/2,z'
loop_
_atom_site_label
_atom_site_fract_x
_atom_site_fract_y
_atom_site_fract_z
Ba1 0.2390 0.2500 0.1680
Sc1 0.0604 0.2500 0.3922
Sc2 0.0777 0.2500 0.9015
Se1 0.0262 0.7500 0.7838
Se2 0.0824 0.2500 0.5748
Se3 0.1198 0.7500 0.0232
Se4 0.2044 0.7500 0.3504